Entry 1:
4
Lattice="3.218 -0.011 0.000 -0.177 5.405 0.000 -1.521 -2.697 4.612" Properties=species:S:1:pos:R:3 comment="Sb2WAu SCAN single point on PBEsol structure" space_group="No. 12" e_above_lowest_polymorph_mev_per_atom=457 e_form_raw_mev_per_atom=869 pbc="T T T"
W 1.609 -0.005 0.000
Au -0.088 2.703 0.000
Sb -0.760 -1.349 2.306
Sb 0.760 1.349 2.306


Entry 2:
4
Lattice="-1.407 0.942 -3.089 -1.495 -3.176 -0.287 -2.931 1.225 1.709" Properties=species:S:1:pos:R:3 comment="MnCo2Re SCAN single point on PBEsol structure" space_group="No. 123" e_above_lowest_polymorph_mev_per_atom=103 ef_kj_per_mol_fu=20 pbc="T T T"
Mn -2.917 -0.505 -0.834
Co -0.703 0.471 -1.544
Re -1.466 0.613 0.854
Co -0.748 -1.588 -0.144


Entry 3:
5
Lattice="3.806 0.000 0.000 0.000 3.806 0.000 0.000 0.000 4.481" Properties=species:S:1:pos:R:3 comment="CrINF2 SCAN single point on PBEsol structure" space_group="No. 123" e_form_raw_mev_per_atom=-965 pbc="T T T"
I 1.903 1.903 2.241
N 0.000 0.000 2.241
F 0.000 1.903 0.000
F 1.903 0.000 0.000
Cr 0.000 0.000 0.000


Entry 4:
9
Lattice="-2.942 1.619 2.269 2.807 -4.007 6.499 2.787 7.450 -1.701" Properties=species:S:1:pos:R:3 comment="Tb6FeSb2 SCAN single point on PBEsol structure" space_group="No. 189" e_form_raw_mev_per_atom=-588 pbc="T T T"
Tb 0.211 -1.591 5.028
Tb 0.653 1.746 -0.398
Fe -1.471 0.809 1.134
Sb 2.800 -0.188 3.765
Sb 2.794 3.631 1.032
Tb 0.772 2.190 3.058
Tb 4.284 2.636 3.674
Tb 0.199 5.273 0.116
Tb 0.658 -0.939 1.523


M_tot values, unit μB/f.u., following the record order: 0.00; 0.27; 2.81; 0.16.
DFT total energy values, unit eV per atom, following the record order: -52.47; -30.94; -15.26; -42.06.